No. 1
Computed, not measured: an optimized crystal structure of BeAlHO at the GGA-PBE level of DFT.

Results
symmetry: Cm
E: -0.1867 hartree per atom

```
8
Lattice="8.220 0.000 -0.001 0.000 2.686 0.000 -0.239 0.000 4.640" Properties=species:S:1:pos:R:3 pbc="T T T"
O 3.012 1.343 3.734
O 3.131 0.000 1.414
H 6.363 1.343 1.929
H 6.244 0.000 4.249
Al 7.535 0.000 1.219
Al 7.416 1.343 3.539
Be 3.168 1.343 0.641
Be 3.049 0.000 2.961
```

No. 2
Computed, not measured: an optimized crystal structure of BeAlHO at the GGA-PBE level of DFT.

Results
symmetry: R3m
E: -0.1902 hartree per atom

```
12
Lattice="2.734 0.000 0.000 -1.367 2.368 0.000 0.000 0.000 17.144" Properties=species:S:1:pos:R:3 pbc="T T T"
Be 0.000 1.578 8.924
Be 0.000 0.000 14.639
Be 1.367 0.789 3.209
O 0.000 0.000 9.417
O 1.367 0.789 15.132
O 0.000 1.578 3.702
Al 1.367 0.789 17.142
Al 0.000 0.000 11.428
Al 0.000 1.578 5.713
H 1.367 0.789 1.720
H 0.000 0.000 13.149
H 0.000 1.578 7.434
```

No. 3
Computed, not measured: an optimized crystal structure of BeAlHO at the GGA-PBE level of DFT.

Results
symmetry: Pm
E: -0.1828 hartree per atom

```
4
Lattice="2.713 -0.005 -0.008 0.006 3.664 -0.008 0.014 1.722 3.751" Properties=species:S:1:pos:R:3 pbc="T T T"
H 1.174 2.754 1.836
Al 2.533 2.824 3.263
O 2.535 4.623 2.583
Be 1.170 1.229 1.697
```

No. 4
Computed, not measured: an optimized crystal structure of BeAlHO at the GGA-PBE level of DFT.

Results
symmetry: Cm
E: -0.1825 hartree per atom

```
8
Lattice="-1.116 2.503 3.615 0.479 -2.197 1.669 8.431 0.210 -2.142" Properties=species:S:1:pos:R:3 pbc="T T T"
Al 6.570 0.287 0.842
Al 2.115 1.280 1.078
Be 1.092 1.044 3.410
Be 5.068 2.247 1.505
H 3.781 1.669 1.113
H -0.196 0.466 3.018
O 2.228 -0.526 1.018
O 6.204 0.678 -0.888
```

No. 5
Computed, not measured: an optimized crystal structure of BeAlHO at the GGA-PBE level of DFT.

Results
symmetry: R3m
E: -0.1867 hartree per atom

```
12
Lattice="-1.320 0.902 2.157 -1.074 -1.936 -1.518 10.993 -16.911 13.799" Properties=species:S:1:pos:R:3 pbc="T T T"
Be 5.111 -7.863 6.416
Be 7.538 -13.544 11.948
Be 0.292 -3.217 1.524
H 1.704 -5.389 3.296
H 8.950 -15.717 13.720
H 6.524 -10.036 8.189
O 3.957 -8.855 6.124
O 0.210 -2.272 2.750
O 8.776 -13.501 11.017
Al 10.698 -16.457 13.428
Al 2.131 -5.227 5.161
Al 5.878 -11.810 8.536
```

No. 6
Computed, not measured: an optimized crystal structure of BeAlHO at the GGA-PBE level of DFT.

Results
symmetry: P3m1
E: -0.1766 hartree per atom

```
4
Lattice="-2.122 1.535 0.705 -0.400 -2.488 -1.003 0.208 -2.332 5.698" Properties=species:S:1:pos:R:3 pbc="T T T"
Be -1.530 -0.005 0.622
Al -0.880 -2.201 2.141
O 0.203 -2.279 5.570
H 0.169 -1.890 4.618
```

No. 7
Computed, not measured: an optimized crystal structure of BeAlHO at the GGA-PBE level of DFT.

Results
symmetry: Amm2
E: -0.1791 hartree per atom

```
8
Lattice="2.893 0.000 0.000 0.000 3.240 0.000 0.000 0.000 8.065" Properties=species:S:1:pos:R:3 pbc="T T T"
Al 0.000 1.620 7.670
Al 0.000 0.000 3.638
H 0.000 1.620 4.039
H 0.000 0.000 0.006
O 1.446 0.000 4.900
O 1.446 1.620 0.868
Be 1.446 1.620 5.529
Be 1.446 0.000 1.497
```

No. 8
Computed, not measured: an optimized crystal structure of BeAlHO at the GGA-PBE level of DFT.

Results
symmetry: R3m
E: -0.1791 hartree per atom

```
12
Lattice="-0.077 1.336 -2.499 -2.381 -1.061 1.114 -2.529 13.112 7.088" Properties=species:S:1:pos:R:3 pbc="T T T"
Al -1.850 9.591 5.185
Al -1.009 1.387 -0.836
Al -2.620 4.958 2.731
Be -3.857 11.371 6.198
Be -2.246 7.799 2.631
Be -0.558 2.891 1.563
H -3.073 12.088 4.949
H -2.155 2.547 1.428
H -1.385 7.180 3.881
O -2.529 9.266 3.424
O -4.140 12.838 6.991
O -0.841 4.358 2.356
```

No. 9
Computed, not measured: an optimized crystal structure of BeAlHO at the GGA-PBE level of DFT.

Results
symmetry: Imm2
E: -0.1758 hartree per atom

```
8
Lattice="-2.641 -0.028 -0.248 0.192 -2.447 -1.769 -0.595 -5.043 6.913" Properties=species:S:1:pos:R:3 pbc="T T T"
Be -0.166 -1.409 1.932
Be -1.689 -5.168 4.380
O -0.290 -4.490 3.593
O -1.408 -0.759 0.897
Al -0.589 -4.988 6.839
Al -1.516 -3.705 2.374
H -1.814 -4.193 5.605
H -0.100 -2.881 1.388
```

No. 10
Computed, not measured: an optimized crystal structure of BeAlHOs2 at the GGA-PBE level of DFT.

Results
symmetry: P4/mmm
E: -0.1624 hartree per atom

```
5
Lattice="4.496 0.000 0.000 0.000 4.496 0.000 0.000 0.000 4.157" Properties=species:S:1:pos:R:3 pbc="T T T"
Be 0.000 0.000 2.079
Os 2.248 0.000 0.000
Os 0.000 2.248 0.000
Al 0.000 0.000 0.000
H 2.248 2.248 2.079
```

No. 11
Computed, not measured: an optimized crystal structure of BeAl2HOs at the GGA-PBE level of DFT.

Results
symmetry: P4/mmm
E: -0.1858 hartree per atom

```
5
Lattice="3.974 0.000 0.000 0.000 3.571 0.000 0.000 0.000 3.974" Properties=species:S:1:pos:R:3 pbc="T T T"
Al 0.000 0.000 1.987
Al 1.987 0.000 0.000
Os 0.000 1.785 0.000
H 0.000 0.000 0.000
Be 1.987 1.785 1.987
```

No. 12
Computed, not measured: an optimized crystal structure of Be2AlHPb at the GGA-PBE level of DFT.

Results
symmetry: P4/mmm
E: -0.0796 hartree per atom

```
5
Lattice="-0.141 2.686 3.641 -5.748 -1.852 1.145 1.597 -3.378 2.555" Properties=species:S:1:pos:R:3 pbc="T T T"
Pb 0.000 0.000 0.000
H -2.146 -1.272 3.670
Be 0.799 -1.689 1.277
Be -0.070 1.343 1.820
Al -2.874 -0.926 0.572
```

No. 13
Computed, not measured: an optimized crystal structure of RbBeAlH6 at the GGA-PBE level of DFT.

Results
symmetry: P312
E: -0.1203 hartree per atom

```
9
Lattice="4.418 0.000 0.000 2.209 3.826 0.000 0.000 0.000 6.028" Properties=species:S:1:pos:R:3 pbc="T T T"
Al 2.209 1.275 3.014
Be 4.418 2.551 3.014
H 3.659 1.451 3.960
H 5.176 1.451 2.068
H 4.990 3.757 2.068
H 5.749 2.443 3.960
H 3.087 2.443 2.068
H 3.845 3.757 3.960
Rb 4.418 0.000 6.028
```

No. 14
Computed, not measured: an optimized crystal structure of Be2AlSiH at the GGA-PBE level of DFT.

Results
symmetry: P4/mmm
E: -0.0935 hartree per atom

```
5
Lattice="4.340 0.000 0.000 0.000 4.959 0.000 0.000 0.000 4.340" Properties=species:S:1:pos:R:3 pbc="T T T"
Al 0.000 0.000 0.000
Be 0.000 0.000 2.170
Be 2.170 0.000 0.000
Si 0.000 2.479 0.000
H 2.170 2.479 2.170
```

No. 15
Computed, not measured: an optimized crystal structure of BeAlSnH2 at the GGA-PBE level of DFT.

Results
symmetry: P4/mmm
E: -0.1120 hartree per atom

```
5
Lattice="3.761 0.000 0.000 0.000 5.214 0.000 0.000 0.000 3.761" Properties=species:S:1:pos:R:3 pbc="T T T"
Sn 0.000 0.000 0.000
H 1.880 0.000 0.000
H 0.000 0.000 1.880
Be 0.000 2.607 0.000
Al 1.880 2.607 1.880
```

No. 16
Computed, not measured: an optimized crystal structure of BeAlTc2H at the GGA-PBE level of DFT.

Results
symmetry: P4/mmm
E: -0.2332 hartree per atom

```
5
Lattice="4.090 0.000 0.000 0.000 4.090 0.000 0.000 0.000 3.201" Properties=species:S:1:pos:R:3 pbc="T T T"
Al 2.045 2.045 1.600
Tc 0.000 2.045 0.000
Tc 2.045 0.000 0.000
Be 0.000 0.000 1.600
H 0.000 0.000 0.000
```

No. 17
Computed, not measured: an optimized crystal structure of Ti2BeAlH at the GGA-PBE level of DFT.

Results
symmetry: P4/mmm
E: -0.2046 hartree per atom

```
5
Lattice="3.972 0.000 0.000 0.000 3.972 0.000 0.000 0.000 3.773" Properties=species:S:1:pos:R:3 pbc="T T T"
Ti 1.986 0.000 0.000
Ti 0.000 1.986 0.000
Al 1.986 1.986 1.886
H 0.000 0.000 0.000
Be 0.000 0.000 1.886
```

No. 18
Computed, not measured: an optimized crystal structure of Zr2BeAlH at the GGA-PBE level of DFT.

Results
symmetry: P4/mmm
E: -0.2137 hartree per atom

```
5
Lattice="4.322 0.000 0.000 0.000 4.322 0.000 0.000 0.000 3.881" Properties=species:S:1:pos:R:3 pbc="T T T"
Zr 2.161 0.000 0.000
Zr 0.000 2.161 0.000
Be 0.000 0.000 1.941
Al 2.161 2.161 1.941
H 0.000 0.000 0.000
```

No. 19
Computed, not measured: an optimized crystal structure of HfBeAl2 at the GGA-PBE level of DFT.

Results
symmetry: P4/mmm
ΔH_f (0 K): -0.286 eV per atom

```
4
Lattice="-0.535 3.785 -1.147 -2.710 0.469 2.812 2.802 1.156 2.507" Properties=species:S:1:pos:R:3 pbc="T T T"
Al 1.401 0.578 1.253
Al -1.355 0.235 1.406
Hf -0.221 2.705 2.086
Be -0.268 1.892 -0.574
```

No. 20
Computed, not measured: an optimized crystal structure of HfBeAl at the GGA-PBE level of DFT.

Results
symmetry: P-6m2
ΔH_f (0 K): -0.327 eV per atom

```
3
Lattice="-1.731 -2.479 0.977 0.915 -2.003 -3.458 2.412 -0.386 3.292" Properties=species:S:1:pos:R:3 pbc="T T T"
Al -0.288 -0.413 0.163
Be 1.624 -1.339 1.205
Hf 0.260 -3.116 -0.556
```

No. 21
Computed, not measured: an optimized crystal structure of Hf2BeAl3 at the GGA-PBE level of DFT.

Results
symmetry: P6_3/mmc
ΔH_f (0 K): -0.371 eV per atom

```
12
Lattice="5.217 0.000 0.000 -2.609 4.518 0.000 0.000 0.000 8.297" Properties=species:S:1:pos:R:3 pbc="T T T"
Be 0.000 0.000 0.000
Be 0.000 0.000 4.148
Al 1.293 3.759 2.074
Al 3.902 0.759 6.223
Al -1.293 3.759 2.074
Al 0.000 1.519 2.074
Al 2.609 3.000 6.223
Al 1.315 0.759 6.223
Hf 2.609 1.506 3.591
Hf 2.609 1.506 0.558
Hf 0.000 3.012 7.739
Hf 0.000 3.012 4.706
```

No. 22
Computed, not measured: an optimized crystal structure of Hf3Be8Al at the GGA-PBE level of DFT.

Results
symmetry: R3m
ΔH_f (0 K): -0.063 eV per atom

```
12
Lattice="4.732 0.000 0.000 2.366 4.098 0.000 2.366 1.366 7.588" Properties=species:S:1:pos:R:3 pbc="T T T"
Be 5.881 4.800 5.193
Be 3.575 2.064 1.400
Be 7.097 2.693 5.193
Be 7.097 4.098 7.061
Be 5.888 2.064 1.400
Be 8.314 4.800 5.193
Be 4.732 4.068 1.400
Be 2.366 1.366 3.420
Hf 4.732 2.732 3.735
Hf 7.097 4.098 0.089
Hf 4.732 2.732 6.585
Al 7.097 4.098 2.960
```

No. 23
Computed, not measured: an optimized crystal structure of HfBeAl at the GGA-PBE level of DFT.

Results
symmetry: C2/m
ΔH_f (0 K): -0.240 eV per atom

```
6
Lattice="3.556 0.000 0.000 0.000 4.937 0.213 -1.778 -0.822 5.260" Properties=species:S:1:pos:R:3 pbc="T T T"
Al 1.778 3.885 1.105
Al 0.000 0.230 4.368
Be 0.000 3.918 2.620
Be 1.778 0.197 2.853
Hf 1.778 2.619 3.994
Hf 0.000 1.496 1.479
```

No. 24
Computed, not measured: an optimized crystal structure of HfBe2Al2 at the GGA-PBE level of DFT.

Results
symmetry: P4/mbm
ΔH_f (0 K): -0.037 eV per atom

```
10
Lattice="-2.839 -5.766 2.811 6.336 -3.001 0.242 0.411 1.079 2.628" Properties=species:S:1:pos:R:3 pbc="T T T"
Be 1.392 -6.946 2.635
Be -1.014 -3.898 1.759
Be 2.105 -1.821 0.419
Be 4.511 -4.869 1.295
Al 3.521 -5.827 3.410
Al 0.386 -1.861 2.271
Al -0.075 -5.197 3.714
Al 3.983 -2.490 1.968
Hf 1.749 -4.383 1.527
Hf 0.000 0.000 0.000
```

No. 25
Computed, not measured: an optimized crystal structure of HfBeAl2 at the GGA-PBE level of DFT.

Results
symmetry: I-42d
ΔH_f (0 K): 0.042 eV per atom

```
8
Lattice="-6.378 -2.596 1.699 1.124 -5.554 -4.265 -1.559 -5.392 0.713" Properties=species:S:1:pos:R:3 pbc="T T T"
Hf -5.282 -6.031 0.565
Hf 0.000 0.000 0.000
Al -3.070 -7.439 -0.687
Al -5.834 -10.836 -1.449
Al -0.874 -5.302 -2.171
Al -3.846 -3.506 0.604
Be -2.627 -4.075 -1.283
Be -1.530 -7.511 -2.417
```

No. 26
Computed, not measured: an optimized crystal structure of HfBe2Al2 at the GGA-PBE level of DFT.

Results
symmetry: I4/mmm
ΔH_f (0 K): -0.008 eV per atom

```
5
Lattice="-2.217 1.298 -2.787 -1.217 -3.526 -0.674 -5.452 -0.451 1.549" Properties=species:S:1:pos:R:3 pbc="T T T"
Be -4.693 -0.134 -1.485
Be -4.193 -2.546 -0.428
Al -2.614 -0.955 -0.943
Al -6.273 -1.724 -0.969
Hf 0.000 0.000 0.000
```